(1)
First-principles (PBE-GGA) data for crystalline YSc2P at its relaxed geometry, as listed in the Alexandria database.

Geometry as POSCAR:
```
YSc2P
1.0
4.0918 0.0000 0.0000
0.0000 1.9622 5.6113
0.0000 -1.9622 5.6113
Y Sc P
1 2 1
direct
0.0000 0.0000 0.0000
0.0000 0.7199 0.7199
0.5000 0.2969 0.2969
0.5000 0.5765 0.5765
```

Values from the calculation:
Its crystal system is orthorhombic. For the volume, the calculation gives 90.11 Å³/cell. Its total energy is -27.09 eV for the cell shown.

(2)
First-principles (PBE-GGA) data for crystalline YScP2 at its relaxed geometry, as listed in the Alexandria database.

Geometry as POSCAR:
```
YScP2
1.0
1.9272 1.1127 6.5799
-1.9272 1.1127 6.5799
0.0000 -2.2254 6.5799
Y Sc P
1 1 2
direct
0.0000 0.0000 0.0000
0.8283 0.8283 0.8283
0.2413 0.2413 0.2413
0.4205 0.4205 0.4205
```

Values from the calculation:
Its crystal system is trigonal. For the volume, the calculation gives 84.66 Å³/cell. Its total energy is -29.19 eV for the cell shown.

(3)
First-principles (PBE-GGA) data for crystalline YZrScP2 at its relaxed geometry, as listed in the Alexandria database.

Geometry as POSCAR:
```
YZrScP2
1.0
4.8979 0.0000 0.0000
0.0000 4.8979 0.0000
0.0000 0.0000 4.8881
Y Zr Sc P
1 1 1 2
direct
0.0000 0.0000 0.0000
0.5000 0.5000 0.0000
0.0000 0.0000 0.5000
0.0000 0.5000 0.5000
0.5000 0.0000 0.5000
```

Values from the calculation:
Its crystal system is tetragonal. For the volume, the calculation gives 117.26 Å³/cell. Its total energy is -29.78 eV for the cell shown.

(4)
First-principles (PBE-GGA) data for crystalline ScZnP2 at its relaxed geometry, as listed in the Alexandria database.

Geometry as POSCAR:
```
ScZnP2
1.0
3.9673 0.0000 0.0000
0.0000 1.5662 6.2526
0.0000 -1.5662 6.2526
Sc Zn P
1 1 2
direct
0.0000 0.0000 0.0000
0.5000 0.7736 0.7736
0.0000 0.6742 0.6742
0.5000 0.4277 0.4277
```

Values from the calculation:
Its crystal system is orthorhombic. For the volume, the calculation gives 77.70 Å³/cell. Its total energy is -20.74 eV for the cell shown.

(5)
First-principles (PBE-GGA) data for crystalline Sc2ZnP2 at its relaxed geometry, as listed in the Alexandria database.

Geometry as POSCAR:
```
Sc2ZnP2
1.0
6.9369 0.0000 0.0000
0.0000 6.9369 0.0000
0.0000 0.0000 3.5420
Sc Zn P
4 2 4
direct
0.1561 0.3439 0.0000
0.3439 0.8439 0.0000
0.6561 0.1561 0.0000
0.8439 0.6561 0.0000
0.0000 0.0000 0.5000
0.5000 0.5000 0.5000
0.1520 0.6520 0.5000
0.3480 0.1520 0.5000
0.6520 0.8480 0.5000
0.8480 0.3480 0.5000
```

Values from the calculation:
Its crystal system is tetragonal. For the volume, the calculation gives 170.44 Å³/cell. Its total energy is -59.28 eV for the cell shown.

(6)
First-principles (PBE-GGA) data for crystalline ScZnP at its relaxed geometry, as listed in the Alexandria database.

Geometry as POSCAR:
```
ScZnP
1.0
0.0000 3.0122 3.0122
3.0122 0.0000 3.0122
3.0122 3.0122 0.0000
Sc Zn P
1 1 1
direct
0.0000 0.0000 0.0000
0.5000 0.5000 0.5000
0.7500 0.7500 0.7500
```

Values from the calculation:
Its crystal system is cubic. For the volume, the calculation gives 54.66 Å³/cell. Its total energy is -14.21 eV for the cell shown.

(7)
First-principles (PBE-GGA) data for crystalline ScZnP2 at its relaxed geometry, as listed in the Alexandria database.

Geometry as POSCAR:
```
ScZnP2
1.0
-1.9928 2.0177 3.9692
1.9928 -2.0177 3.9692
1.9928 2.0177 -3.9692
Sc Zn P
1 1 2
direct
0.0000 0.0000 0.0000
0.5000 0.5000 0.0000
0.2504 0.7504 0.5000
0.7496 0.2496 0.5000
```

Values from the calculation:
Its crystal system is orthorhombic. For the volume, the calculation gives 63.84 Å³/cell. Its total energy is -19.83 eV for the cell shown.

(8)
First-principles (PBE-GGA) data for crystalline ScZnP3 at its relaxed geometry, as listed in the Alexandria database.

Geometry as POSCAR:
```
ScZnP3
1.0
4.6066 0.0000 0.0000
0.0000 4.6066 0.0000
0.0000 0.0000 4.6066
Sc Zn P
1 1 3
direct
0.0000 0.0000 0.0000
0.5000 0.5000 0.5000
0.0000 0.5000 0.5000
0.5000 0.0000 0.5000
0.5000 0.5000 0.0000
```

Values from the calculation:
Its crystal system is cubic. For the volume, the calculation gives 97.75 Å³/cell. Its total energy is -21.73 eV for the cell shown.